Density functional theory data (PBE) for an optimized crystal structure of PrZn2BRh2.

The density of states at the Fermi level is 1.7 states/eV per cell. Its total energy is -32.06 eV/f.u.

The space group is P4/mmm (No. 123) and the conventional cell measures 4.153, 4.153 and 5.725 Å, with angles of 90.00, 90.00 and 90.00 degrees. The distinct sites, in fractional coordinates, are Pr at (0.000, 0.000, 0.000), Zn at (0.500, 0.500, 0.222), B at (0.000, 0.000, 0.500) and Rh at (0.000, 0.500, 0.500).

Density functional theory data (PBE) for an optimized crystal structure of Cu5Ag.

The density of states at the Fermi level is 4.3 states/eV per cell. Its total energy is -22.66 eV/f.u.

The space group is F-43m (No. 216) and the conventional cell measures 6.848, 6.848 and 6.848 Å, with angles of 90.00, 90.00 and 90.00 degrees. The distinct sites, in fractional coordinates, are Cu at (0.000, 0.000, 0.000), Cu at (0.125, 0.125, 0.375) and Ag at (0.250, 0.250, 0.750).

Density functional theory data (PBE) for an optimized crystal structure of CrTePd2.

The density of states at the Fermi level is 3.3 states/eV per cell. The formation energy from raw total energies is -0.067 eV per atom.

The space group is P4/mmm (No. 123) and the conventional cell measures 4.114, 4.114 and 4.058 Å, with angles of 90.00, 90.00 and 90.00 degrees. The distinct sites, in fractional coordinates, are Cr at (0.000, 0.000, 0.000), Te at (0.500, 0.500, 0.000) and Pd at (0.000, 0.500, 0.500).